Record 1
{"formula": "Sr2LiAl4Pt3", "functional": "GGA-PBE", "state": "relaxed", "lattice_angstrom": [[4.491, 0.000, 0.000], [0.000, 4.491, 0.000], [0.000, 0.000, 10.039]], "species": ["Sr", "Sr", "Li", "Al", "Al", "Al", "Al", "Pt", "Pt", "Pt"], "frac_coords": [[0.000, 0.500, 0.246], [0.500, 0.000, 0.754], [0.500, 0.500, 0.000], [0.000, 0.000, 0.500], [0.000, 0.500, 0.880], [0.500, 0.000, 0.120], [0.500, 0.500, 0.500], [0.000, 0.000, 0.000], [0.000, 0.500, 0.628], [0.500, 0.000, 0.372]], "sg": "P-4m2, No. 115", "delta_e_f_ev_per_atom": -0.82}

Record 2
{"formula": "USeI3", "functional": "GGA-PBE", "state": "relaxed", "lattice_angstrom": [[8.139, 0.000, 0.000], [0.000, 7.898, 0.000], [-1.737, 0.000, 14.904]], "species": ["U", "U", "U", "U", "Se", "Se", "Se", "Se", "I", "I", "I", "I", "I", "I", "I", "I", "I", "I", "I", "I"], "frac_coords": [[0.077, 0.111, 0.141], [0.077, 0.889, 0.641], [0.923, 0.111, 0.359], [0.923, 0.889, 0.859], [0.135, 0.357, 0.288], [0.135, 0.643, 0.788], [0.865, 0.357, 0.212], [0.865, 0.643, 0.712], [0.136, 0.218, 0.534], [0.136, 0.782, 0.034], [0.233, 0.094, 0.803], [0.233, 0.906, 0.303], [0.373, 0.260, 0.081], [0.373, 0.740, 0.581], [0.627, 0.260, 0.419], [0.627, 0.740, 0.919], [0.767, 0.094, 0.697], [0.767, 0.906, 0.197], [0.864, 0.218, 0.966], [0.864, 0.782, 0.466]], "sg": "P2/c, No. 13"}

Record 3
{"formula": "UCl2F2", "functional": "GGA-PBE", "state": "relaxed", "lattice_angstrom": [[4.495, 0.000, 0.000], [0.000, 12.852, 0.000], [0.000, 0.000, 3.915]], "species": ["U", "U", "Cl", "Cl", "Cl", "Cl", "F", "F", "F", "F"], "frac_coords": [[0.000, 0.000, 0.000], [0.500, 0.500, 0.000], [0.000, 0.375, 0.000], [0.000, 0.625, 0.000], [0.500, 0.125, 0.000], [0.500, 0.875, 0.000], [0.000, 0.094, 0.500], [0.000, 0.906, 0.500], [0.500, 0.406, 0.500], [0.500, 0.594, 0.500]], "polymorph_energy_kj_per_mol_fu": 0, "sg": "Cmmm, No. 65"}

| no. | energy (eV/atom) |
| --- | --- |
| 1 | -4.66 |
| 2 | -4.66 |
| 3 | -6.34 |